Entry 1:
A relaxed KPtRhO4 crystal, computed with PBE.

Properties
The formation energy from raw total energies is -0.828 eV/atom.

Unit cell a=6.5330 b=6.5419 c=9.2324 alpha=90.00 beta=90.00 gamma=90.00
Last column: nearest neighbours and their distance in Å.
Space group Imma (No. 74)
One atom of each set of equivalent atoms:
1 K 0.0000 0.2500 0.1250 (multiplicity 4)  4 O 2.43-2.44
2 Pt 0.2500 0.2500 0.7500 (multiplicity 4)  6 O 2.08
3 Rh 0.0000 0.0000 0.5000 (multiplicity 4)  6 O 2.10
4 O 0.0000 0.0554 0.7239 (multiplicity 8)  2 Pt 2.08, 1 Rh 2.10
5 O 0.1972 0.2500 0.5275 (multiplicity 8)  1 Pt 2.08, 2 Rh 2.10

***

Entry 2:
A relaxed YSiNO2 crystal, computed with PBE.

Properties
The formation energy from raw total energies is -2.608 eV/atom.

Unit cell a=12.3073 b=7.0533 c=9.2010 alpha=90.00 beta=90.00 gamma=90.00
Last column: nearest neighbours and their distance in Å.
Space group Cmcm (No. 63)
One atom of each set of equivalent atoms:
1 Y 0.0000 0.0000 0.0000 (multiplicity 4)  2 O 2.29, 2 N 2.41
2 Y 0.1754 0.5000 0.0000 (multiplicity 8)  2 O 2.26, 2 N 2.42
3 Si 0.0000 0.4151 0.2500 (multiplicity 4)  2 O 1.66, 2 N 1.72
4 Si 0.1222 0.2145 0.7500 (multiplicity 8)  2 O 1.65, 2 N 1.71
5 N 0.0000 0.0997 0.7500 (multiplicity 4)  2 Si 1.71
6 N 0.1187 0.4568 0.7500 (multiplicity 8)  2 Si 1.71-1.72
7 O 0.0000 0.3020 0.0915 (multiplicity 8)  1 Si 1.66
8 O 0.1800 0.1554 0.5943 (multiplicity 16)  1 Si 1.65